(1)
Entry from Alexandria: Pa2Si3Pt2 after structural relaxation (PBE-GGA).

Properties
E_form (uncorrected), eV per atom: -0.465
VASP energy, eV/atom: -7.228
D(E_F), states/eV per atom: 1.014
Crystal system: orthorhombic
E above lowest polymorph, meV per atom: 367

Unit cell a=3.5448 b=4.1753 c=9.5371 alpha=102.64 beta=90.00 gamma=90.00
Fractional coordinates of all 7 atoms:
Pt 0.5000 0.2985 0.5971
Pt 0.5000 0.7015 0.4029
Si 0.5000 0.4356 0.8713
Si 0.5000 0.5644 0.1287
Si 0.0000 0.0000 0.0000
Pa 0.0000 0.8489 0.6978
Pa 0.0000 0.1511 0.3022

---

(2)
Entry from Alexandria: Sm2As3Pd6 after structural relaxation (PBE-GGA).

Properties
Energy of formation from the pure elements, eV/f.u.: -8.74
VASP energy, eV/atom: -5.753
D(E_F), states/eV per atom: 0.489
Crystal system: hexagonal

Unit cell a=4.3082 b=7.4850 c=7.4850 alpha=120.00 beta=90.00 gamma=90.00
Fractional coordinates of all 11 atoms:
Sm 0.0000 0.6667 0.3333
Sm 0.0000 0.3333 0.6667
Pd 0.5000 0.0000 0.3000
Pd 0.5000 0.7000 0.7000
Pd 0.0000 0.0000 0.7897
Pd 0.0000 0.7897 0.0000
Pd 0.5000 0.3000 0.0000
Pd 0.0000 0.2103 0.2103
As 0.5000 0.6280 0.0000
As 0.5000 0.3720 0.3720
As 0.5000 0.0000 0.6280

---

(3)
Entry from Alexandria: V4OsRh after structural relaxation (PBE-GGA).

Properties
Energy of formation from the pure elements, eV/f.u.: -1.37
VASP energy, eV/atom: -9.404
D(E_F), states/eV per atom: 1.165
Crystal system: monoclinic

Unit cell a=4.9866 b=4.9866 c=4.9788 alpha=114.51 beta=86.35 gamma=130.49
Fractional coordinates of all 6 atoms:
Rh 0.0000 0.5000 0.5000
V 0.6718 0.8265 0.4982
V 0.6618 0.3263 0.9881
V 0.3282 0.1735 0.5018
V 0.3382 0.6737 0.0119
Os 0.0000 0.0000 0.0000

---

(4)
Entry from Alexandria: Ce2CuSi3Pt4 after structural relaxation (PBE-GGA).

Properties
E_form (uncorrected), eV per atom: -0.984
VASP energy, eV/atom: -6.624
D(E_F), states/eV per atom: 1.099
Crystal system: tetragonal

Unit cell a=4.2431 b=4.2431 c=9.9589 alpha=90.00 beta=90.00 gamma=90.00
Site moments in Bohr magnetons follow the coordinates.
Fractional coordinates of all 10 atoms:
Si 0.0000 0.0000 0.5000  0.00
Si 0.5000 0.0000 0.8709  0.00
Si 0.0000 0.5000 0.1291  0.00
Ce 0.5000 0.0000 0.2581  0.45
Ce 0.0000 0.5000 0.7419  0.45
Pt 0.0000 0.5000 0.3672  -0.01
Pt 0.0000 0.0000 0.0000  0.01
Pt 0.5000 0.5000 0.0000  0.01
Pt 0.5000 0.0000 0.6328  -0.01
Cu 0.5000 0.5000 0.5000  0.00

---

(5)
Entry from Alexandria: Pm3B8Ru3 after structural relaxation (PBE-GGA).

Properties
Energy of formation from the pure elements, eV/f.u.: -1.43
VASP energy, eV/atom: -6.923
D(E_F), states/eV per atom: 0.439
Crystal system: orthorhombic

Unit cell a=3.1600 b=7.9871 c=7.9871 alpha=71.30 beta=78.59 gamma=78.59
Fractional coordinates of all 14 atoms:
B 0.8512 0.8305 0.4672
B 0.1488 0.1695 0.5328
B 0.3704 0.8702 0.3891
B 0.6296 0.1298 0.6109
B 0.3704 0.3891 0.8702
B 0.1488 0.5328 0.1695
B 0.6296 0.6109 0.1298
B 0.8512 0.4672 0.8305
Pm 0.7827 0.2173 0.2173
Pm 0.5000 0.5000 0.5000
Pm 0.2173 0.7827 0.7827
Ru 0.0000 0.7831 0.2169
Ru 0.0000 0.2169 0.7831
Ru 0.5000 0.0000 0.0000

---

(6)
Entry from Alexandria: CsIrNF after structural relaxation (PBE-GGA).

Properties
E_form (uncorrected), eV per atom: -0.424
VASP energy, eV/atom: -5.402
D(E_F), states/eV per atom: 0.629
Crystal system: monoclinic
E above lowest polymorph, meV per atom: 140

Unit cell a=7.1681 b=3.1782 c=9.9291 alpha=90.00 beta=129.13 gamma=90.00
Fractional coordinates of all 8 atoms:
N 0.2088 0.0000 0.0988
N 0.2088 0.5000 0.5988
Ir 0.0668 0.5000 0.9676
Ir 0.0668 0.0000 0.4676
Cs 0.5494 0.5000 0.4497
Cs 0.5494 0.0000 0.9497
F 0.8030 0.5000 0.2862
F 0.8030 0.0000 0.7862